# 1
! KGeTe2 PBE optimized geometry; values from VASP
! * uncorrected formation energy: -465 meV/atom
&SYSTEM
  ibrav = 0, nat = 32, ntyp = 3
/
ATOMIC_SPECIES
K 39.10 K.upf
Ge 72.64 Ge.upf
Te 127.60 Te.upf
CELL_PARAMETERS angstrom
6.138 -5.622 0.000
6.138 5.622 0.000
-4.299 0.000 17.338
ATOMIC_POSITIONS crystal
K 0.119 0.796 0.600
K 0.203 0.388 0.870
K 0.204 0.881 0.900
K 0.388 0.203 0.370
K 0.612 0.797 0.630
K 0.796 0.119 0.100
K 0.797 0.612 0.130
K 0.881 0.204 0.400
Ge 0.087 0.659 0.352
Ge 0.260 0.478 0.172
Ge 0.341 0.913 0.148
Ge 0.478 0.260 0.672
Ge 0.522 0.740 0.328
Ge 0.659 0.087 0.852
Ge 0.740 0.522 0.828
Ge 0.913 0.341 0.648
Te 0.047 0.372 0.264
Te 0.141 0.859 0.250
Te 0.168 0.229 0.579
Te 0.229 0.168 0.079
Te 0.353 0.636 0.453
Te 0.364 0.647 0.047
Te 0.372 0.047 0.764
Te 0.434 0.566 0.750
Te 0.566 0.434 0.250
Te 0.628 0.953 0.236
Te 0.636 0.353 0.953
Te 0.647 0.364 0.547
Te 0.771 0.832 0.921
Te 0.832 0.771 0.421
Te 0.859 0.141 0.750
Te 0.953 0.628 0.736

# 2
! K2ZrOs PBE optimized geometry; values from VASP
! * energy relative to the lowest polymorph listed for this composition: 0.5754 eV per atom
! * energy relative to the elements: 1.00 eV per atom
&SYSTEM
  ibrav = 0, nat = 4, ntyp = 3
/
ATOMIC_SPECIES
K 39.10 K.upf
Zr 91.22 Zr.upf
Os 190.23 Os.upf
CELL_PARAMETERS angstrom
-2.001 2.001 6.169
2.001 -2.001 6.169
2.001 2.001 -6.169
ATOMIC_POSITIONS crystal
K 0.250 0.750 0.500
K 0.750 0.250 0.500
Zr 0.000 0.000 0.000
Os 0.500 0.500 0.000

# 3
! Sr3Tc5 PBE optimized geometry; values from VASP
! * energy relative to the lowest polymorph listed for this composition: 0.3000 eV per atom
! * energy relative to the elements: 1.09 eV per atom
&SYSTEM
  ibrav = 0, nat = 8, ntyp = 2
/
ATOMIC_SPECIES
Sr 87.62 Sr.upf
Tc 98.00 Tc.upf
CELL_PARAMETERS angstrom
3.589 -4.777 0.000
3.589 4.777 0.000
0.000 0.000 4.913
ATOMIC_POSITIONS crystal
Sr 0.000 0.000 0.000
Sr 0.218 0.782 0.500
Sr 0.782 0.218 0.500
Tc 0.000 0.500 0.000
Tc 0.340 0.340 0.500
Tc 0.500 0.000 0.000
Tc 0.500 0.500 0.000
Tc 0.660 0.660 0.500

# 4
! YCdRh PBE optimized geometry; values from VASP
! * energy relative to the elements: -0.55 eV per atom
&SYSTEM
  ibrav = 0, nat = 6, ntyp = 3
/
ATOMIC_SPECIES
Y 88.91 Y.upf
Cd 112.41 Cd.upf
Rh 102.91 Rh.upf
CELL_PARAMETERS angstrom
4.111 0.000 0.000
0.000 4.111 0.000
0.000 0.000 7.602
ATOMIC_POSITIONS crystal
Y 0.250 0.250 0.146
Y 0.750 0.750 0.854
Cd 0.250 0.750 0.500
Cd 0.750 0.250 0.500
Rh 0.250 0.250 0.768
Rh 0.750 0.750 0.232

# 5
! AgCF2 PBE optimized geometry; values from VASP
! * uncorrected formation energy: -423 meV/atom
! * energy relative to the lowest polymorph listed for this composition: 0.0415 eV per atom
&SYSTEM
  ibrav = 0, nat = 4, ntyp = 3
/
ATOMIC_SPECIES
Ag 107.87 Ag.upf
C 12.01 C.upf
F 19.00 F.upf
CELL_PARAMETERS angstrom
3.592 0.000 0.000
-0.042 4.842 0.000
-1.760 -2.288 4.025
ATOMIC_POSITIONS crystal
Ag 0.000 0.000 0.000
C 0.387 0.034 0.768
F 0.219 0.792 0.431
F 0.379 0.311 0.745

# 6
! HgSbPt2 PBE optimized geometry; values from VASP
! * uncorrected formation energy: 6 meV/atom
&SYSTEM
  ibrav = 0, nat = 4, ntyp = 3
/
ATOMIC_SPECIES
Hg 200.59 Hg.upf
Sb 121.76 Sb.upf
Pt 195.08 Pt.upf
CELL_PARAMETERS angstrom
-2.050 2.050 4.494
2.050 -2.050 4.494
2.050 2.050 -4.494
ATOMIC_POSITIONS crystal
Hg 0.000 0.000 0.000
Sb 0.750 0.250 0.500
Pt 0.250 0.750 0.500
Pt 0.500 0.500 0.000

# 7
! Pu6GaOs PBE optimized geometry; values from VASP
! * energy relative to the elements: 0.03 eV per atom
&SYSTEM
  ibrav = 0, nat = 8, ntyp = 3
/
ATOMIC_SPECIES
Pu 244.00 Pu.upf
Ga 69.72 Ga.upf
Os 190.23 Os.upf
CELL_PARAMETERS angstrom
4.681 0.000 0.000
0.000 4.681 0.000
0.000 0.000 8.146
ATOMIC_POSITIONS crystal
Pu 0.000 0.000 0.000
Pu 0.000 0.000 0.500
Pu 0.000 0.500 0.220
Pu 0.000 0.500 0.780
Pu 0.500 0.000 0.220
Pu 0.500 0.000 0.780
Ga 0.500 0.500 0.500
Os 0.500 0.500 0.000

# 8
! CaSi2Hg2 PBE optimized geometry; values from VASP
! * uncorrected formation energy: -71 meV/atom
! * energy relative to the lowest polymorph listed for this composition: 0.0000 eV per atom
&SYSTEM
  ibrav = 0, nat = 5, ntyp = 3
/
ATOMIC_SPECIES
Ca 40.08 Ca.upf
Si 28.09 Si.upf
Hg 200.59 Hg.upf
CELL_PARAMETERS angstrom
-2.309 2.309 5.268
2.309 -2.309 5.268
2.309 2.309 -5.268
ATOMIC_POSITIONS crystal
Ca 0.000 0.000 0.000
Si 0.391 0.391 0.000
Si 0.609 0.609 0.000
Hg 0.250 0.750 0.500
Hg 0.750 0.250 0.500

| no. | energy (eV/atom) | density (g/cm3) | M_tot (μB/f.u.) |
| --- | --- | --- | --- |
| 1 | -3.464 | 4.1 | 0.0 |
| 2 | -4.497 | 6.0 | 0.8 |
| 3 | -6.021 | 7.4 | 1.3 |
| 4 | -5.465 | 7.9 | 0.0 |
| 5 | -4.378 | 3.7 | 0.0 |
| 6 | -4.120 | 15.7 | 0.0 |
| 7 | -12.497 | 16.0 | 21.8 |
| 8 | -2.761 | 7.4 | 0.0 |